#1
PmGe2Ru (PBE, optimized geometry); space group = Fm-3m (225); Fermi-level density of states = 0.744 states/eV per atom; size of the total moment = 0.0 μB per cell
1.0
6.6745 0.0000 0.0000
0.0000 6.6745 0.0000
0.0000 0.0000 6.6745
Pm Ge Ru
4 8 4
direct
0.0000 0.0000 0.0000
0.0000 0.5000 0.5000
0.5000 0.0000 0.5000
0.5000 0.5000 0.0000
0.2500 0.2500 0.2500
0.2500 0.2500 0.7500
0.2500 0.7500 0.2500
0.2500 0.7500 0.7500
0.7500 0.2500 0.2500
0.7500 0.2500 0.7500
0.7500 0.7500 0.2500
0.7500 0.7500 0.7500
0.0000 0.0000 0.5000
0.0000 0.5000 0.0000
0.5000 0.0000 0.0000
0.5000 0.5000 0.5000

***

#2
PmGe2Ru (PBE, optimized geometry); space group = R-3m (166); Fermi-level density of states = 0.594 states/eV per atom; size of the total moment = 0.0 μB per cell
1.0
4.2215 0.0000 0.0000
-2.1107 3.6559 0.0000
0.0000 0.0000 15.2066
Pm Ge Ru
3 6 3
direct
0.0000 0.0000 0.0000
0.3333 0.6667 0.6667
0.6667 0.3333 0.3333
0.0000 0.0000 0.2180
0.0000 0.0000 0.7820
0.3333 0.6667 0.4486
0.3333 0.6667 0.8847
0.6667 0.3333 0.1153
0.6667 0.3333 0.5514
0.0000 0.0000 0.5000
0.3333 0.6667 0.1667
0.6667 0.3333 0.8333

***

#3
PmGe2Ru (PBE, optimized geometry); space group = P4/mmm (123); Fermi-level density of states = 0.695 states/eV per atom; size of the total moment = 0.0 μB per cell
1.0
4.1777 0.0000 0.0000
0.0000 4.1777 0.0000
0.0000 0.0000 4.3688
Pm Ge Ru
1 2 1
direct
0.0000 0.0000 0.0000
0.0000 0.5000 0.5000
0.5000 0.0000 0.5000
0.5000 0.5000 0.0000

***

Stability ranking, top and bottom: #2 is the most stable and #3 is the least stable.

***

#1
PmGe2Ru (PBE, optimized geometry); space group = Cmcm (63); Fermi-level density of states = 0.610 states/eV per atom; size of the total moment = 0.0 μB per cell
1.0
2.1606 -8.0189 0.0000
2.1606 8.0189 0.0000
0.0000 0.0000 9.1829
Pm Ge Ru
4 8 4
direct
0.0000 0.0000 0.0000
0.0000 0.0000 0.5000
0.2074 0.7926 0.7500
0.7926 0.2074 0.2500
0.2003 0.7997 0.0898
0.2003 0.7997 0.4102
0.4149 0.5851 0.7500
0.4247 0.5753 0.2500
0.5753 0.4247 0.7500
0.5851 0.4149 0.2500
0.7997 0.2003 0.5898
0.7997 0.2003 0.9102
0.3572 0.6428 0.5018
0.3572 0.6428 0.9982
0.6428 0.3572 0.0018
0.6428 0.3572 0.4982

***

#2
PmGe2Ru (PBE, optimized geometry); space group = P4/mmm (123); Fermi-level density of states = 1.020 states/eV per atom; size of the total moment = 0.0 μB per cell
1.0
3.1888 0.0000 0.0000
0.0000 3.1888 0.0000
0.0000 0.0000 7.1940
Pm Ge Ru
1 2 1
direct
0.0000 0.0000 0.0000
0.5000 0.5000 0.2999
0.5000 0.5000 0.7001
0.0000 0.0000 0.5000

***

Stability ranking, top and bottom: #1 is the most stable and #2 is the least stable.

***

#1
PmGe3Ru (PBE, optimized geometry); space group = Pmn2_1 (31); Fermi-level density of states = 0.559 states/eV per atom; size of the total moment = 0.0 μB per cell
1.0
6.1783 0.0000 0.0000
0.0000 5.7632 0.0000
0.0000 0.0000 5.7624
Pm Ge Ru
2 6 2
direct
0.0000 0.1421 0.0000
0.5000 0.8579 0.5000
0.0000 0.9209 0.4603
0.2320 0.3300 0.5334
0.2680 0.6700 0.0334
0.5000 0.0791 0.9603
0.7320 0.6700 0.0334
0.7680 0.3300 0.5334
0.0000 0.6150 0.7324
0.5000 0.3850 0.2324

***

#2
PmGe3Ru (PBE, optimized geometry); space group = I4mm (107); Fermi-level density of states = 0.353 states/eV per atom; size of the total moment = 0.0 μB per cell
1.0
4.4059 0.0000 0.0000
0.0000 4.4059 0.0000
0.0000 0.0000 10.1704
Pm Ge Ru
2 6 2
direct
0.0000 0.0000 0.0000
0.5000 0.5000 0.5000
0.0000 0.0000 0.4279
0.0000 0.5000 0.2619
0.0000 0.5000 0.7619
0.5000 0.0000 0.2619
0.5000 0.0000 0.7619
0.5000 0.5000 0.9279
0.0000 0.0000 0.6606
0.5000 0.5000 0.1606

***

Stability ranking, top and bottom: #2 is the most stable and #1 is the least stable.

***

#1
Pm3Ge2Ru (PBE, optimized geometry); space group = Pnma (62); Fermi-level density of states = 0.736 states/eV per atom; size of the total moment = 0.0 μB per cell
1.0
12.0660 0.0000 0.0000
0.0000 4.2612 0.0000
0.0000 0.0000 11.5728
Pm Ge Ru
12 8 4
direct
0.0556 0.2500 0.1275
0.1200 0.7500 0.5539
0.2224 0.2500 0.7971
0.2776 0.7500 0.2971
0.3800 0.2500 0.0539
0.4444 0.7500 0.6275
0.5556 0.2500 0.3725
0.6200 0.7500 0.9461
0.7224 0.2500 0.7029
0.7776 0.7500 0.2029
0.8800 0.2500 0.4461
0.9444 0.7500 0.8725
0.0147 0.7500 0.3115
0.1919 0.7500 0.9958
0.3081 0.2500 0.4958
0.4853 0.2500 0.8115
0.5147 0.7500 0.1885
0.6919 0.7500 0.5042
0.8081 0.2500 0.0042
0.9853 0.2500 0.6885
0.1305 0.2500 0.3675
0.3695 0.7500 0.8675
0.6305 0.2500 0.1325
0.8695 0.7500 0.6325

***

#2
Pm3Ge2Ru (PBE, optimized geometry); space group = R-3c (167); Fermi-level density of states = 0.735 states/eV per atom; size of the total moment = 0.0 μB per cell
1.0
3.9418 2.2758 5.9118
-3.9418 2.2758 5.9118
0.0000 -4.5516 5.9118
Pm Ge Ru
6 4 2
direct
0.0666 0.7500 0.4334
0.2500 0.5666 0.9334
0.4334 0.0666 0.7500
0.5666 0.9334 0.2500
0.7500 0.4334 0.0666
0.9334 0.2500 0.5666
0.1469 0.1469 0.1469
0.3531 0.3531 0.3531
0.6469 0.6469 0.6469
0.8531 0.8531 0.8531
0.0000 0.0000 0.0000
0.5000 0.5000 0.5000

***

Stability ranking, top and bottom: #1 is the most stable and #2 is the least stable.

***

#1
Pm2Ge6Ru (PBE, optimized geometry); space group = C2/m (12); Fermi-level density of states = 0.464 states/eV per atom; size of the total moment = 0.0 μB per cell
1.0
5.2579 -3.0395 0.0000
5.2579 3.0395 0.0000
-0.0060 0.0000 5.4893
Pm Ge Ru
2 6 1
direct
0.1671 0.1671 0.1854
0.8329 0.8329 0.8146
0.1402 0.6805 0.3100
0.3195 0.8598 0.6900
0.3200 0.3200 0.6895
0.6800 0.6800 0.3105
0.6805 0.1402 0.3100
0.8598 0.3195 0.6900
0.5000 0.5000 0.0000

***

#2
Pm2Ge6Ru (PBE, optimized geometry); space group = Amm2 (38); Fermi-level density of states = 0.464 states/eV per atom; size of the total moment = 0.0 μB per cell
1.0
4.2568 0.0000 0.0000
0.0000 1.9869 11.2301
0.0000 -1.9869 11.2301
Pm Ge Ru
2 6 1
direct
0.0000 0.0000 0.0000
0.0000 0.3381 0.3381
0.0000 0.6195 0.6195
0.0000 0.7314 0.7314
0.5000 0.1253 0.1253
0.5000 0.2372 0.2372
0.5000 0.4517 0.4517
0.5000 0.8804 0.8804
0.5000 0.5618 0.5618

***

Stability ranking, top and bottom: #1 is the most stable and #2 is the least stable.

***

#1
PmGeS2 (PBE, optimized geometry); space group = R-3m (166); Fermi-level density of states = 0.290 states/eV per atom; size of the total moment = 0.0 μB per cell
1.0
3.7317 0.0000 0.0000
-1.8658 3.2317 0.0000
0.0000 0.0000 24.8044
Pm Ge S
3 3 6
direct
0.0000 0.0000 0.0000
0.3333 0.6667 0.6667
0.6667 0.3333 0.3333
0.0000 0.0000 0.5000
0.3333 0.6667 0.1667
0.6667 0.3333 0.8333
0.0000 0.0000 0.1086
0.0000 0.0000 0.8914
0.3333 0.6667 0.5580
0.3333 0.6667 0.7753
0.6667 0.3333 0.2247
0.6667 0.3333 0.4420

***

#2
PmGeS2 (PBE, optimized geometry); space group = P3_221 (154); Fermi-level density of states = 0.540 states/eV per atom; size of the total moment = 0.6 μB per cell
1.0
4.1474 0.0000 0.0000
-2.0737 3.5917 0.0000
0.0000 0.0000 20.8037
Pm Ge S
3 3 6
direct
0.0000 0.3153 0.3333
0.3153 0.0000 0.6667
0.6847 0.6847 0.0000
0.0000 0.9844 0.8333
0.0156 0.0156 0.5000
0.9844 0.0000 0.1667
0.0239 0.3620 0.9273
0.3381 0.9761 0.2606
0.3620 0.0239 0.0727
0.6380 0.6619 0.5940
0.6619 0.6380 0.4060
0.9761 0.3381 0.7393

***

Stability ranking, top and bottom: #2 is the most stable and #1 is the least stable.

***

#1
Pm3Ge2S (PBE, optimized geometry); space group = I4/mmm (139); Fermi-level density of states = 0.411 states/eV per atom; size of the total moment = 0.0 μB per cell
1.0
4.1883 0.0000 0.0000
0.0000 4.1883 0.0000
0.0000 0.0000 17.7632
Pm Ge S
6 4 2
direct
0.0000 0.0000 0.0000
0.0000 0.0000 0.3373
0.0000 0.0000 0.6627
0.5000 0.5000 0.1627
0.5000 0.5000 0.5000
0.5000 0.5000 0.8373
0.0000 0.0000 0.1655
0.0000 0.0000 0.8345
0.5000 0.5000 0.3345
0.5000 0.5000 0.6655
0.0000 0.0000 0.5000
0.5000 0.5000 0.0000

***

#2
Pm3Ge2S (PBE, optimized geometry); space group = Cmcm (63); Fermi-level density of states = 0.485 states/eV per atom; size of the total moment = 0.0 μB per cell
1.0
5.4493 -4.2461 0.0000
5.4493 4.2461 0.0000
0.0000 0.0000 6.9756
Pm Ge S
6 4 2
direct
0.1165 0.8835 0.7500
0.3094 0.3094 0.0000
0.3094 0.3094 0.5000
0.6906 0.6906 0.0000
0.6906 0.6906 0.5000
0.8835 0.1165 0.2500
0.0617 0.6757 0.2500
0.3243 0.9383 0.2500
0.6757 0.0617 0.7500
0.9383 0.3243 0.7500
0.4314 0.5686 0.7500
0.5686 0.4314 0.2500

***

Stability ranking, top and bottom: #1 is the most stable and #2 is the least stable.

***

#1
Pm3GeS2 (PBE, optimized geometry); space group = Cmcm (63); Fermi-level density of states = 0.297 states/eV per atom; size of the total moment = 1.9 μB per cell
1.0
5.5307 -5.5661 0.0000
5.5307 5.5661 0.0000
0.0000 0.0000 6.5748
Pm Ge S
6 2 4
direct
0.1054 0.8946 0.7500
0.2601 0.4279 0.7500
0.4279 0.2601 0.2500
0.5721 0.7399 0.7500
0.7399 0.5721 0.2500
0.8946 0.1054 0.2500
0.3723 0.6277 0.2500
0.6277 0.3723 0.7500
0.1650 0.1650 0.0000
0.1650 0.1650 0.5000
0.8350 0.8350 0.0000
0.8350 0.8350 0.5000

***

#2
Pm3GeS2 (PBE, optimized geometry); space group = Immm (71); Fermi-level density of states = 0.353 states/eV per atom; size of the total moment = 0.0 μB per cell
1.0
4.1459 0.0000 0.0000
0.0000 5.8246 0.0000
0.0000 0.0000 12.3290
Pm Ge S
6 2 4
direct
0.0000 0.0000 0.0000
0.0000 0.0000 0.3322
0.0000 0.0000 0.6678
0.5000 0.5000 0.1678
0.5000 0.5000 0.5000
0.5000 0.5000 0.8322
0.0000 0.5000 0.0000
0.5000 0.0000 0.5000
0.0000 0.5000 0.3344
0.0000 0.5000 0.6656
0.5000 0.0000 0.1656
0.5000 0.0000 0.8344

***

Stability ranking, top and bottom: #2 is the most stable and #1 is the least stable.